Entry 1:
# BeNiMo2, PBEsol geometry, DFT meta-GGA SCAN
data_BeNiMo2
_chemical_formula_sum 'Be1 Ni1 Mo2'
_cell_length_a 2.535
_cell_length_b 4.430
_cell_length_c 4.430
_cell_angle_alpha 90.00
_cell_angle_beta 90.00
_cell_angle_gamma 90.00
_space_group_name_H-M_alt 'P 1'
_space_group_IT_number 1
loop_
_space_group_symop_operation_xyz
'x,y,z'
loop_
_atom_site_label
_atom_site_fract_x
_atom_site_fract_y
_atom_site_fract_z
_atom_site_occupancy
Mo1 0.000 0.500 0.000 1
Mo2 0.000 0.000 0.500 1
Ni1 0.500 0.500 0.500 1
Be1 0.500 0.000 0.000 1
# Raw total energy: -89.51 eV per cell
# Magnetization: 0.20 Bohr magnetons per cell
# Space-group type: P4/mmm (123)
# ΔE_f: 0.20 eV per atom

Entry 2:
# BeNiMo2, PBEsol geometry, DFT meta-GGA SCAN
data_BeNiMo2
_chemical_formula_sum 'Be1 Ni1 Mo2'
_cell_length_a 3.580
_cell_length_b 3.580
_cell_length_c 3.890
_cell_angle_alpha 90.00
_cell_angle_beta 90.00
_cell_angle_gamma 90.00
_space_group_name_H-M_alt 'P 1'
_space_group_IT_number 1
loop_
_space_group_symop_operation_xyz
'x,y,z'
loop_
_atom_site_label
_atom_site_fract_x
_atom_site_fract_y
_atom_site_fract_z
_atom_site_occupancy
Ni1 0.500 0.500 0.500 1
Mo1 0.500 0.000 0.000 1
Mo2 0.000 0.500 0.000 1
Be1 0.000 0.000 0.500 1
# Raw total energy: -90.05 eV per cell
# Magnetization: 0.00 Bohr magnetons per cell
# Space-group type: P4/mmm (123)
# ΔE_f: 0.06 eV per atom

Entry 3:
# BeNiMo2, PBEsol geometry, DFT meta-GGA SCAN
data_BeNiMo2
_chemical_formula_sum 'Be1 Ni1 Mo2'
_cell_length_a 2.583
_cell_length_b 4.039
_cell_length_c 4.824
_cell_angle_alpha 90.00
_cell_angle_beta 98.59
_cell_angle_gamma 90.00
_space_group_name_H-M_alt 'P 1'
_space_group_IT_number 1
loop_
_space_group_symop_operation_xyz
'x,y,z'
loop_
_atom_site_label
_atom_site_fract_x
_atom_site_fract_y
_atom_site_fract_z
_atom_site_occupancy
Ni1 0.351 0.000 0.509 1
Be1 0.398 0.500 0.754 1
Mo1 0.765 0.500 0.269 1
Mo2 0.986 0.000 0.968 1
# Raw total energy: -90.36 eV per cell
# Magnetization: 0.00 Bohr magnetons per cell
# Space-group type: Pm (6)
# ΔE_f: -0.02 eV per atom

Entry 4:
# BeNiMo2, PBEsol geometry, DFT meta-GGA SCAN
data_BeNiMo2
_chemical_formula_sum 'Be1 Ni1 Mo2'
_cell_length_a 2.579
_cell_length_b 4.585
_cell_length_c 4.585
_cell_angle_alpha 113.10
_cell_angle_beta 89.88
_cell_angle_gamma 89.88
_space_group_name_H-M_alt 'P 1'
_space_group_IT_number 1
loop_
_space_group_symop_operation_xyz
'x,y,z'
loop_
_atom_site_label
_atom_site_fract_x
_atom_site_fract_y
_atom_site_fract_z
_atom_site_occupancy
Ni1 0.500 0.000 0.000 1
Be1 0.500 0.500 0.500 1
Mo1 0.000 0.000 0.500 1
Mo2 0.000 0.500 0.000 1
# Raw total energy: -89.97 eV per cell
# Magnetization: 0.67 Bohr magnetons per cell
# Space-group type: C2/m (12)
# ΔE_f: 0.08 eV per atom

Entry 5:
# TiBeNi2Mo, PBEsol geometry, DFT meta-GGA SCAN
data_TiBeNi2Mo
_chemical_formula_sum 'Ti1 Be1 Ni2 Mo1'
_cell_length_a 4.208
_cell_length_b 4.208
_cell_length_c 4.448
_cell_angle_alpha 90.00
_cell_angle_beta 90.00
_cell_angle_gamma 90.00
_space_group_name_H-M_alt 'P 1'
_space_group_IT_number 1
loop_
_space_group_symop_operation_xyz
'x,y,z'
loop_
_atom_site_label
_atom_site_fract_x
_atom_site_fract_y
_atom_site_fract_z
_atom_site_occupancy
Be1 0.500 0.500 0.500 1
Ni1 0.500 0.000 0.000 1
Ni2 0.000 0.500 0.000 1
Ti1 0.000 0.000 0.000 1
Mo1 0.000 0.000 0.500 1
# Raw total energy: -80.50 eV per cell
# Magnetization: 0.00 Bohr magnetons per cell
# Space-group type: P4/mmm (123)
# ΔE_f: 1.42 eV per atom

Entry 6:
# BeMoO2, PBEsol geometry, DFT meta-GGA SCAN
data_BeMoO2
_chemical_formula_sum 'Be2 Mo2 O4'
_cell_length_a 4.430
_cell_length_b 4.931
_cell_length_c 4.430
_cell_angle_alpha 116.70
_cell_angle_beta 90.00
_cell_angle_gamma 116.70
_space_group_name_H-M_alt 'P 1'
_space_group_IT_number 1
loop_
_space_group_symop_operation_xyz
'x,y,z'
loop_
_atom_site_label
_atom_site_fract_x
_atom_site_fract_y
_atom_site_fract_z
_atom_site_occupancy
O1 0.787 0.250 0.875 1
O2 0.125 0.750 0.537 1
O3 0.463 0.250 0.375 1
O4 0.625 0.750 0.213 1
Be1 0.500 0.000 0.500 1
Be2 0.750 0.500 0.250 1
Mo1 0.000 0.000 0.000 1
Mo2 0.250 0.500 0.750 1
# Raw total energy: -116.10 eV per cell
# Magnetization: 0.00 Bohr magnetons per cell
# Space-group type: I-42d (122)
# Formation energy from raw total energies: -6.35 eV/f.u.

Entry 7:
# BeMoP2O, PBEsol geometry, DFT meta-GGA SCAN
data_BeMoP2O
_chemical_formula_sum 'Be1 Mo1 P2 O1'
_cell_length_a 2.812
_cell_length_b 4.726
_cell_length_c 4.726
_cell_angle_alpha 90.00
_cell_angle_beta 90.00
_cell_angle_gamma 90.00
_space_group_name_H-M_alt 'P 1'
_space_group_IT_number 1
loop_
_space_group_symop_operation_xyz
'x,y,z'
loop_
_atom_site_label
_atom_site_fract_x
_atom_site_fract_y
_atom_site_fract_z
_atom_site_occupancy
P1 0.000 0.500 0.000 1
P2 0.000 0.000 0.500 1
Mo1 0.500 0.500 0.500 1
Be1 0.000 0.000 0.000 1
O1 0.500 0.000 0.000 1
# Raw total energy: -66.23 eV per cell
# Magnetization: 0.94 Bohr magnetons per cell
# Space-group type: P4/mmm (123)
# Formation energy from raw total energies: 0.04 eV/f.u.

Entry 8:
# Be3Si3Mo2O12, PBEsol geometry, DFT meta-GGA SCAN
data_Be3Si3Mo2O12
_chemical_formula_sum 'Be12 Si12 Mo8 O48'
_cell_length_a 7.657
_cell_length_b 8.009
_cell_length_c 13.834
_cell_angle_alpha 89.98
_cell_angle_beta 90.00
_cell_angle_gamma 90.00
_space_group_name_H-M_alt 'P 1'
_space_group_IT_number 1
loop_
_space_group_symop_operation_xyz
'x,y,z'
loop_
_atom_site_label
_atom_site_fract_x
_atom_site_fract_y
_atom_site_fract_z
_atom_site_occupancy
Be1 0.143 0.572 0.237 1
Be2 0.646 0.389 0.085 1
Be3 0.650 0.424 0.403 1
Be4 0.850 0.924 0.903 1
Be5 0.146 0.111 0.415 1
Be6 0.150 0.076 0.097 1
Be7 0.354 0.611 0.915 1
Be8 0.857 0.428 0.763 1
Be9 0.357 0.072 0.737 1
Be10 0.643 0.928 0.263 1
Be11 0.854 0.889 0.585 1
Be12 0.350 0.576 0.597 1
O1 0.046 0.405 0.818 1
O2 0.374 0.753 0.539 1
O3 0.459 0.316 0.045 1
O4 0.874 0.747 0.961 1
O5 0.761 0.419 0.311 1
O6 0.460 0.519 0.388 1
O7 0.375 0.072 0.856 1
O8 0.546 0.095 0.682 1
O9 0.380 0.435 0.855 1
O10 0.261 0.081 0.189 1
O11 0.880 0.065 0.645 1
O12 0.756 0.255 0.134 1
O13 0.744 0.755 0.634 1
O14 0.954 0.595 0.182 1
O15 0.041 0.816 0.545 1
O16 0.239 0.581 0.689 1
O17 0.763 0.241 0.802 1
O18 0.244 0.423 0.523 1
O19 0.237 0.759 0.198 1
O20 0.256 0.245 0.366 1
O21 0.263 0.259 0.698 1
O22 0.040 0.019 0.888 1
O23 0.244 0.745 0.866 1
O24 0.959 0.184 0.455 1
O25 0.737 0.741 0.302 1
O26 0.620 0.565 0.145 1
O27 0.125 0.572 0.356 1
O28 0.246 0.074 0.527 1
O29 0.256 0.923 0.023 1
O30 0.256 0.432 0.195 1
O31 0.244 0.932 0.695 1
O32 0.540 0.481 0.612 1
O33 0.756 0.068 0.305 1
O34 0.454 0.905 0.318 1
O35 0.626 0.247 0.461 1
O36 0.120 0.935 0.355 1
O37 0.960 0.981 0.112 1
O38 0.754 0.926 0.473 1
O39 0.746 0.426 0.973 1
O40 0.744 0.568 0.805 1
O41 0.739 0.919 0.811 1
O42 0.541 0.684 0.955 1
O43 0.254 0.574 0.027 1
O44 0.625 0.928 0.144 1
O45 0.744 0.077 0.977 1
O46 0.126 0.253 0.039 1
O47 0.875 0.428 0.644 1
O48 0.756 0.577 0.477 1
Mo1 0.551 0.252 0.911 1
Mo2 0.949 0.752 0.411 1
Mo3 0.056 0.751 0.076 1
Mo4 0.944 0.249 0.924 1
Mo5 0.556 0.749 0.424 1
Mo6 0.449 0.748 0.089 1
Mo7 0.051 0.248 0.589 1
Mo8 0.444 0.251 0.576 1
Si1 0.769 0.114 0.416 1
Si2 0.231 0.886 0.584 1
Si3 0.736 0.066 0.734 1
Si4 0.264 0.934 0.266 1
Si5 0.764 0.566 0.234 1
Si6 0.731 0.614 0.916 1
Si7 0.735 0.567 0.600 1
Si8 0.765 0.067 0.100 1
Si9 0.269 0.386 0.084 1
Si10 0.265 0.433 0.400 1
Si11 0.236 0.434 0.766 1
Si12 0.235 0.933 0.900 1
# Raw total energy: -954.04 eV per cell
# Magnetization: 24.00 Bohr magnetons per cell
# Space-group type: P2_1/c (14)
# Formation energy from raw total energies: -50.86 eV/f.u.

Entry 9:
# BeMoOs3, PBEsol geometry, DFT meta-GGA SCAN
data_BeMoOs3
_chemical_formula_sum 'Be1 Mo1 Os3'
_cell_length_a 4.056
_cell_length_b 4.056
_cell_length_c 4.056
_cell_angle_alpha 90.00
_cell_angle_beta 90.00
_cell_angle_gamma 90.00
_space_group_name_H-M_alt 'P 1'
_space_group_IT_number 1
loop_
_space_group_symop_operation_xyz
'x,y,z'
loop_
_atom_site_label
_atom_site_fract_x
_atom_site_fract_y
_atom_site_fract_z
_atom_site_occupancy
Mo1 0.500 0.500 0.500 1
Be1 0.000 0.000 0.000 1
Os1 0.000 0.500 0.000 1
Os2 0.000 0.000 0.500 1
Os3 0.500 0.000 0.000 1
# Raw total energy: -252.67 eV per cell
# Magnetization: 0.00 Bohr magnetons per cell
# Space-group type: Pm-3m (221)
# ΔE_f: 0.44 eV per atom

Entry 10:
# Be2MoOs, PBEsol geometry, DFT meta-GGA SCAN
data_Be2MoOs
_chemical_formula_sum 'Be2 Mo1 Os1'
_cell_length_a 2.788
_cell_length_b 2.788
_cell_length_c 5.797
_cell_angle_alpha 90.00
_cell_angle_beta 90.00
_cell_angle_gamma 90.00
_space_group_name_H-M_alt 'P 1'
_space_group_IT_number 1
loop_
_space_group_symop_operation_xyz
'x,y,z'
loop_
_atom_site_label
_atom_site_fract_x
_atom_site_fract_y
_atom_site_fract_z
_atom_site_occupancy
Be1 0.000 0.000 0.718 1
Be2 0.000 0.000 0.282 1
Os1 0.500 0.500 0.500 1
Mo1 0.500 0.500 0.000 1
# Raw total energy: -115.77 eV per cell
# Magnetization: 0.00 Bohr magnetons per cell
# Space-group type: P4/mmm (123)
# ΔE_f: -0.08 eV per atom

Q: The highest magnetization belongs to which entry?
A: Be3Si3Mo2O12

Q: Which of these has the lowest raw total energy?
A: Be3Si3Mo2O12